# PmPr5Ho6 | the Alexandria database | PBE | relaxed
data_PmPr5Ho6
_chemical_formula_sum 'Pm1 Pr5 Ho6'
_symmetry_space_group_name_H-M 'P 1'
_symmetry_Int_Tables_number 1
_cell_length_a 9.556
_cell_length_b 9.556
_cell_length_c 9.556
_cell_angle_alpha 148.72
_cell_angle_beta 116.31
_cell_angle_gamma 72.67
loop_
_symmetry_equiv_pos_as_xyz
'x,y,z'
loop_
_atom_site_label
_atom_site_fract_x
_atom_site_fract_y
_atom_site_fract_z
Pm1 0.000 0.000 0.000
Pr1 0.166 0.666 0.500
Pr2 0.333 0.333 0.000
Pr3 0.500 0.000 0.500
Pr4 0.667 0.667 0.000
Pr5 0.834 0.334 0.500
Ho1 0.083 0.834 0.250
Ho2 0.249 0.500 0.749
Ho3 0.416 0.166 0.250
Ho4 0.584 0.834 0.750
Ho5 0.751 0.500 0.251
Ho6 0.917 0.166 0.750
# Total magnetization   0.00 μB per atom
# DOS(E_F)   16.002 states/eV/f.u.
# Energy of formation from the pure elements   0.018 eV per atom